Entry 1:
# Na3IO

A geometry-optimized Na3IO structure (GGA-PBE, the Alexandria database).

ΔE_f (raw)   -3.1 eV per formula unit

a = 4.3463 Å, b = 4.3463 Å, c = 28.1226 Å
α = 90.00°, β = 90.00°, γ = 90.00°
Space group I-4m2 (No. 119)
Symmetry-distinct sites (fractional):
Na 0.0000 0.0000 0.1767
Na 0.0000 0.2407 0.6005
I 0.0000 0.0000 0.5000
I 0.0000 0.5000 0.7500
O 0.0000 0.5000 0.1248


Entry 2:
# NaI4O12

A geometry-optimized NaI4O12 structure (GGA-PBE, the Alexandria database).

ΔE_f (raw)   -3.0 eV per formula unit

a = 7.8298 Å, b = 7.8298 Å, c = 7.8298 Å
α = 90.00°, β = 90.00°, γ = 90.00°
Space group Im-3 (No. 204)
Symmetry-distinct sites (fractional):
Na 0.0000 0.0000 0.0000
I 0.2500 0.2500 0.2500
O 0.0000 0.2820 0.1995